Record 1
Be2Re2Bi | GGA-PBE | relaxed

**Crystal system**: tetragonal
**Symmetry**: No. 139
**Total energy**: -6.703 eV per atom
**E_form**: 2.7 eV per formula unit
**Fermi-level density of states**: 0.447 states/eV/atom

Cell and atoms, written as POSCAR:
```
Be2Re2Bi
1.0
-1.894 2.700 -1.664
-0.083 -1.980 -3.117
-5.895 -2.056 -0.727
Bi Re Be
1 2 2
Direct
0.000 0.000 0.000
0.750 0.250 0.500
0.250 0.750 0.500
0.394 0.394 0.211
0.606 0.606 0.789
```



Record 2
BaSr2BiPd | GGA-PBE | relaxed

**Crystal system**: tetragonal
**Symmetry**: No. 123
**Total energy**: -3.400 eV per atom
**E_form**: -2.6 eV per formula unit
**Fermi-level density of states**: 0.648 states/eV/atom

Cell and atoms, written as POSCAR:
```
BaSr2BiPd
1.0
-0.028 2.310 -5.358
-1.872 -5.078 -2.180
-5.697 1.762 0.789
Sr Pd Ba Bi
2 1 1 1
Direct
0.000 0.500 0.000
0.500 0.000 0.000
0.000 0.000 0.000
0.000 0.000 0.500
0.500 0.500 0.500
```



Record 3
La3Y2Er4 | GGA-PBE | relaxed

**Crystal system**: monoclinic
**Symmetry**: No. 15
**Total energy**: -5.000 eV per atom
**E_form**: 1.0 eV per formula unit
**Fermi-level density of states**: 1.554 states/eV/atom

Cell and atoms, written as POSCAR:
```
La3Y2Er4
1.0
5.808 1.606 1.150
2.131 11.051 0.626
2.131 4.154 10.260
La Er Y
6 8 4
Direct
0.750 0.044 0.289
0.750 0.361 0.639
0.250 0.639 0.361
0.250 0.956 0.711
0.750 0.711 0.956
0.250 0.289 0.044
0.416 0.593 0.853
0.076 0.821 0.068
0.584 0.407 0.147
0.084 0.147 0.407
0.576 0.068 0.821
0.916 0.853 0.593
0.424 0.932 0.179
0.924 0.179 0.932
0.426 0.269 0.507
0.074 0.493 0.731
0.574 0.731 0.493
0.926 0.507 0.269
```



Record 4
CuS2O | GGA-PBE | relaxed

**Crystal system**: triclinic
**Symmetry**: No. 1
**Uncorrected formation energy**: -373 meV per atom
**Total energy**: -4.700 eV per atom
**Fermi-level density of states**: 0.000 states/eV/atom

Cell and atoms, written as POSCAR:
```
CuS2O
1.0
-3.759 3.844 6.447
-4.189 0.793 -0.801
-3.324 -2.379 4.387
O S Cu
2 4 2
Direct
0.748 0.337 0.148
0.985 0.289 0.270
0.525 0.002 0.834
0.895 0.499 0.105
0.366 0.884 0.718
0.224 0.343 0.589
0.256 0.225 0.232
0.463 0.605 0.205
```



Record 5
MnSi2Mo | GGA-PBE | relaxed

**Crystal system**: orthorhombic
**Symmetry**: No. 71
**Uncorrected formation energy**: -138 meV per atom
**Total energy**: -7.849 eV per atom
**Fermi-level density of states**: 0.628 states/eV/atom

Cell and atoms, written as POSCAR:
```
MnSi2Mo
1.0
-4.130 1.009 1.782
-2.988 -0.040 -3.510
2.951 -2.919 2.006
Si Mn Mo
2 1 1
Direct
0.011 0.011 0.000
0.489 0.489 0.000
0.250 0.750 0.500
0.750 0.250 0.500
```



Record 6
BaTiHgPb2 | GGA-PBE | relaxed

**Crystal system**: tetragonal
**Symmetry**: No. 123
**Total energy**: -3.726 eV per atom
**E_form**: -1.1 eV per formula unit
**Fermi-level density of states**: 0.505 states/eV/atom

Cell and atoms, written as POSCAR:
```
BaTiHgPb2
1.0
-1.463 0.473 5.206
0.018 -5.406 0.497
5.310 0.153 1.478
Pb Ti Ba Hg
2 1 1 1
Direct
0.500 0.000 0.000
0.000 0.500 0.000
0.000 0.000 0.000
0.500 0.500 0.500
0.000 0.000 0.500
```